# 1
## SnIrS (PBE)

Data for a relaxed SnIrS crystal.

## Properties
ρ = 8.26 g cm⁻³
total magnetic moment = 0.0 μB per cell
DOS(E_F) = 1.0 states/eV/f.u.
space-group type = Cm (8)
calculated total energy = -5.73 eV per atom

a = 3.376 Å, b = 3.376 Å, c = 7.252 Å
α = 103.64°, β = 103.64°, γ = 60.14°
Atoms (fractional coordinates):
Sn (0.000, 0.000, 0.000)
Ir (0.216, 0.216, 0.665)
S (0.496, 0.496, 0.504)

***

# 2
## Pm3ErIr2 (PBE)

Data for a relaxed Pm3ErIr2 crystal.

## Properties
energy of formation = -0.507 eV per atom
ρ = 10.49 g cm⁻³
total magnetic moment = 0.0 μB per cell
energy relative to the lowest polymorph listed for this composition = 55.4 meV per atom
DOS(E_F) = 6.0 states/eV/f.u.
space-group type = C2/m (12)
calculated total energy = -6.60 eV per atom

a = 8.048 Å, b = 8.048 Å, c = 4.716 Å
α = 106.97°, β = 106.97°, γ = 32.46°
Atoms (fractional coordinates):
Pm (0.000, 0.000, 0.000)
Pm (0.313, 0.313, 0.813)
Pm (0.687, 0.687, 0.187)
Er (0.500, 0.500, 0.500)
Ir (0.126, 0.126, 0.626)
Ir (0.874, 0.874, 0.374)

***

# 3
## Nd2CS2N2 (PBE)

Data for a relaxed Nd2CS2N2 crystal.

## Properties
ρ = 4.82 g cm⁻³
total magnetic moment = 0.0 μB per cell
DOS(E_F) = 0.0 states/eV/f.u.
space-group type = C2/m (12)
calculated total energy = -7.63 eV per atom

a = 5.106 Å, b = 5.106 Å, c = 7.025 Å
α = 97.76°, β = 97.76°, γ = 48.37°
Atoms (fractional coordinates):
Nd (0.182, 0.182, 0.246)
Nd (0.818, 0.818, 0.754)
C (0.500, 0.500, 0.500)
S (0.128, 0.128, 0.840)
S (0.872, 0.872, 0.160)
N (0.380, 0.380, 0.555)
N (0.620, 0.620, 0.445)

***

# 4
## Hf4Fe7Si6 (PBE)

Data for a relaxed Hf4Fe7Si6 crystal.

## Properties
ρ = 9.16 g cm⁻³
total magnetic moment = 4.8 μB per cell
DOS(E_F) = 13.6 states/eV/f.u.
space-group type = Im-3m (229)
calculated total energy = -8.39 eV per atom

a = 6.693 Å, b = 6.693 Å, c = 6.693 Å
α = 109.47°, β = 109.47°, γ = 109.47°
Atoms (fractional coordinates):
Hf (0.000, 0.000, 0.500)
Hf (0.000, 0.500, 0.000)
Hf (0.500, 0.000, 0.000)
Hf (0.500, 0.500, 0.500)
Fe (0.000, 0.000, 0.000)
Fe (0.250, 0.500, 0.750)
Fe (0.250, 0.750, 0.500)
Fe (0.500, 0.250, 0.750)
Fe (0.500, 0.750, 0.250)
Fe (0.750, 0.250, 0.500)
Fe (0.750, 0.500, 0.250)
Si (0.000, 0.318, 0.318)
Si (0.000, 0.682, 0.682)
Si (0.318, 0.000, 0.318)
Si (0.318, 0.318, 0.000)
Si (0.682, 0.000, 0.682)
Si (0.682, 0.682, 0.000)

***

# 5
## Pr2Sm4Bi3N2 (PBE)

Data for a relaxed Pr2Sm4Bi3N2 crystal.

## Properties
ρ = 8.31 g cm⁻³
total magnetic moment = 0.0 μB per cell
DOS(E_F) = 6.1 states/eV/f.u.
space-group type = I4/mmm (139)
calculated total energy = -6.18 eV per atom

a = 13.710 Å, b = 13.710 Å, c = 13.710 Å
α = 159.79°, β = 159.79°, γ = 28.73°
Atoms (fractional coordinates):
Pr (0.192, 0.192, 0.000)
Pr (0.808, 0.808, 0.000)
Sm (0.083, 0.583, 0.500)
Sm (0.417, 0.917, 0.500)
Sm (0.583, 0.083, 0.500)
Sm (0.917, 0.417, 0.500)
Bi (0.322, 0.322, 0.000)
Bi (0.500, 0.500, 0.000)
Bi (0.678, 0.678, 0.000)
N (0.102, 0.102, 0.000)
N (0.898, 0.898, 0.000)

***

# 6
## CaLa3Se4 (PBE)

Data for a relaxed CaLa3Se4 crystal.

## Properties
ρ = 5.71 g cm⁻³
total magnetic moment = 0.0 μB per cell
DOS(E_F) = 5.0 states/eV/f.u.
space-group type = Pm-3m (221)
calculated total energy = -5.82 eV per atom

a = 6.078 Å, b = 6.078 Å, c = 6.078 Å
α = 90.00°, β = 90.00°, γ = 90.00°
Atoms (fractional coordinates):
Ca (0.000, 0.000, 0.000)
La (0.000, 0.500, 0.500)
La (0.500, 0.000, 0.500)
La (0.500, 0.500, 0.000)
Se (0.000, 0.000, 0.500)
Se (0.000, 0.500, 0.000)
Se (0.500, 0.000, 0.000)
Se (0.500, 0.500, 0.500)

***

# 7
## GdErIr (PBE)

Data for a relaxed GdErIr crystal.

## Properties
energy of formation = -0.574 eV per atom
ρ = 11.20 g cm⁻³
total magnetic moment = 7.2 μB per cell
energy relative to the lowest polymorph listed for this composition = 114.5 meV per atom
DOS(E_F) = 3.3 states/eV/f.u.
space-group type = I4mm (107)
calculated total energy = -9.74 eV per atom

a = 6.812 Å, b = 6.812 Å, c = 6.812 Å
α = 150.46°, β = 150.46°, γ = 42.26°
Atoms (fractional coordinates):
Gd (0.000, 0.000, 0.000)
Er (0.255, 0.255, 0.000)
Ir (0.632, 0.632, 0.000)

***

# 8
## Ni2SnPb (PBE)

Data for a relaxed Ni2SnPb crystal.

## Properties
energy of formation = 0.338 eV per atom
ρ = 8.94 g cm⁻³
total magnetic moment = 0.0 μB per cell
energy relative to the lowest polymorph listed for this composition = 151.4 meV per atom
DOS(E_F) = 3.3 states/eV/f.u.
space-group type = I-42d (122)
calculated total energy = -4.48 eV per atom

a = 8.903 Å, b = 8.903 Å, c = 8.903 Å
α = 151.09°, β = 151.09°, γ = 41.35°
Atoms (fractional coordinates):
Ni (0.088, 0.625, 0.963)
Ni (0.375, 0.338, 0.463)
Ni (0.662, 0.125, 0.037)
Ni (0.875, 0.912, 0.537)
Sn (0.000, 0.000, 0.000)
Sn (0.750, 0.250, 0.500)
Pb (0.250, 0.750, 0.500)
Pb (0.500, 0.500, 0.000)